Below is a relaxed structure of Na2PuF8, with properties calculated at the GGA-PBE level.

Computed properties:
For the formation energy from raw total energies, the calculation gives -2.664 eV/atom. The calculated total energy comes out at -122.5 eV for the cell shown.

abc: 14.448 4.004 5.355
angles: 90.00 105.11 90.00
Space group C2/m (No. 12)
Inequivalent atoms, fractional coordinates:
Na: 0.201 0.000 0.207 [4 per cell]
Pu: 0.000 0.500 0.500 [2 per cell]
F: 0.029 0.000 0.316 [4 per cell]
F: 0.078 0.500 0.872 [4 per cell]
F: 0.135 0.500 0.434 [4 per cell]
F: 0.219 0.000 0.797 [4 per cell]